(1)
SrCrPO6 | GGA+U | optimized geometry

Structure (POSCAR):
```
SrCrPO6
1.0
4.8431 0.0000 0.0000
-2.4216 4.1943 0.0000
0.0000 0.0000 5.3952
Sr Cr P O
1 1 1 6
Direct
0.0000 0.0000 0.0000
0.3333 0.6667 0.5000
0.6667 0.3333 0.5000
0.4040 0.0246 0.6866
0.4040 0.3794 0.3134
0.6206 0.0246 0.3134
0.6206 0.5960 0.6866
0.9754 0.3794 0.6866
0.9754 0.5960 0.3134
```

## Properties
calculated total energy: -0.25539 Ha/atom


(2)
SrCrPO2 | GGA+U | optimized geometry

Structure (POSCAR):
```
SrCrPO2
1.0
4.4108 0.0000 0.0000
0.0000 4.4108 0.0000
0.0000 0.0000 6.3963
Sr Cr P O
1 1 1 2
Direct
0.0000 0.0000 0.0000
0.5000 0.5000 0.5000
0.0000 0.0000 0.5000
0.0000 0.5000 0.0000
0.5000 0.0000 0.0000
```

## Properties
Fermi-level density of states: 2.12 states/eV per cell
calculated total energy: -0.17499 Ha/atom


(3)
SrZnCrP2O8 | GGA+U | optimized geometry

Structure (POSCAR):
```
SrZnCrP2O8
1.0
6.0272 0.0000 0.0000
-0.7353 8.3465 0.0000
-1.1480 -1.6843 8.1403
Sr Zn Cr P O
2 2 2 4 16
Direct
0.1207 0.4055 0.2013
0.8793 0.5945 0.7987
0.2197 0.0287 0.0083
0.7803 0.9713 0.9917
0.0758 0.9310 0.3072
0.9242 0.0690 0.6928
0.2350 0.2790 0.6049
0.4289 0.7294 0.0992
0.5711 0.2706 0.9008
0.7650 0.7210 0.3951
0.0014 0.1027 0.1674
0.0248 0.3236 0.6845
0.2124 0.0892 0.5717
0.2350 0.6021 0.0127
0.2801 0.3624 0.4682
0.3504 0.8965 0.1733
0.3913 0.2392 0.0093
0.4617 0.3441 0.7475
0.5383 0.6559 0.2525
0.6087 0.7608 0.9907
0.6496 0.1035 0.8267
0.7199 0.6376 0.5318
0.7650 0.3979 0.9873
0.7876 0.9108 0.4283
0.9752 0.6764 0.3155
0.9986 0.8973 0.8326
```

## Properties
Fermi-level density of states: 0.00 states/eV per cell
calculated total energy: -0.25289 Ha/atom


(4)
SrZnCrP2O8 | GGA+U | optimized geometry

Structure (POSCAR):
```
SrZnCrP2O8
1.0
5.6311 0.0000 0.0000
-1.0873 6.8371 0.0000
-2.0517 -3.4720 8.4729
Sr Zn Cr P O
2 2 2 4 16
Direct
0.2485 0.2012 0.4465
0.7515 0.7988 0.5535
0.4987 0.3858 0.1399
0.5013 0.6142 0.8601
0.1365 0.8403 0.0462
0.8635 0.1597 0.9538
0.1104 0.5807 0.2696
0.3339 0.0196 0.7955
0.6661 0.9804 0.2045
0.8896 0.4193 0.7304
0.1165 0.9267 0.8510
0.1422 0.4192 0.1125
0.1598 0.4772 0.7149
0.1619 0.8010 0.2599
0.2346 0.9934 0.6241
0.3069 0.5646 0.4048
0.4512 0.1031 0.1858
0.4595 0.2558 0.9084
0.5405 0.7442 0.0916
0.5488 0.8969 0.8142
0.6931 0.4354 0.5952
0.7654 0.0066 0.3759
0.8381 0.1990 0.7401
0.8402 0.5228 0.2851
0.8578 0.5808 0.8875
0.8835 0.0733 0.1490
```

## Properties
Fermi-level density of states: 0.00 states/eV per cell
calculated total energy: -0.25653 Ha/atom


(5)
TaCrPO2 | GGA+U | optimized geometry

Structure (POSCAR):
```
TaCrPO2
1.0
3.8759 0.0000 0.0000
0.0000 3.8759 0.0000
0.0000 0.0000 5.3079
Ta Cr P O
1 1 1 2
Direct
0.0000 0.0000 0.0000
0.5000 0.5000 0.5000
0.0000 0.0000 0.5000
0.0000 0.5000 0.0000
0.5000 0.0000 0.0000
```

## Properties
Fermi-level density of states: 0.33 states/eV per cell
calculated total energy: -0.30749 Ha/atom


(6)
TaCrPO2 | GGA+U | optimized geometry

Structure (POSCAR):
```
TaCrPO2
1.0
3.7179 0.0000 0.0000
0.0000 3.7179 0.0000
0.0000 0.0000 4.9312
Ta Cr P O
1 1 1 2
Direct
0.0000 0.0000 0.0000
0.5000 0.5000 0.5000
0.5000 0.5000 0.0000
0.0000 0.5000 0.5000
0.5000 0.0000 0.5000
```

## Properties
Fermi-level density of states: 3.37 states/eV per cell
calculated total energy: -0.26949 Ha/atom